(1)
# La5Al (GGA-PBEsol, optimized geometry)
data_La5Al
_chemical_formula_sum 'La5 Al1'
_space_group_name_H-M_alt 'P 6/m m m'
_space_group_IT_number 191
_space_group_name_Hall '-P 6 2'
_cell_length_a 6.2240
_cell_length_b 6.2240
_cell_length_c 5.7949
_cell_angle_alpha 90.00
_cell_angle_beta 90.00
_cell_angle_gamma 120.00
loop_
_atom_site_label
_atom_site_fract_x
_atom_site_fract_y
_atom_site_fract_z
La1 0.0000 0.5000 0.0000
La2 0.3333 0.6667 0.5000
Al1 0.0000 0.0000 0.5000
# Distance to the lowest polymorph of the same formula = 513 meV/atom
# VASP energy = -4.7094 eV per atom
# V = 194 Å³ per cell
# DFT formation energy = 428 meV per atom

(2)
# LiLa2Al (GGA-PBEsol, optimized geometry)
data_LiLa2Al
_chemical_formula_sum 'Li1 La2 Al1'
_space_group_name_H-M_alt 'P 4/m m m'
_space_group_IT_number 123
_space_group_name_Hall '-P 4 2'
_cell_length_a 5.2605
_cell_length_b 5.2605
_cell_length_c 3.8668
_cell_angle_alpha 90.00
_cell_angle_beta 90.00
_cell_angle_gamma 90.00
loop_
_atom_site_label
_atom_site_fract_x
_atom_site_fract_y
_atom_site_fract_z
Li1 0.0000 0.0000 0.0000
La1 0.0000 0.5000 0.5000
Al1 0.5000 0.5000 0.0000
# VASP energy = -4.3253 eV per atom
# V = 107 Å³ per cell
# DFT formation energy = -138 meV per atom

(3)
# LiLa2Al (GGA-PBEsol, optimized geometry)
data_LiLa2Al
_chemical_formula_sum 'Li2 La4 Al2'
_space_group_name_H-M_alt 'I m m 2'
_space_group_IT_number 44
_cell_length_a 3.7145
_cell_length_b 5.2111
_cell_length_c 10.5369
_cell_angle_alpha 90.00
_cell_angle_beta 90.00
_cell_angle_gamma 90.00
loop_
_space_group_symop_operation_xyz
'x,y,z'
'-x,-y,z'
'-x,y,z'
'x,-y,z'
'x+1/2,y+1/2,z+1/2'
'-x+1/2,-y+1/2,z+1/2'
'-x+1/2,y+1/2,z+1/2'
'x+1/2,-y+1/2,z+1/2'
loop_
_atom_site_label
_atom_site_fract_x
_atom_site_fract_y
_atom_site_fract_z
Li1 0.0000 0.0000 0.0000
La1 0.0000 0.0000 0.4521
La2 0.0000 0.5000 0.2300
Al1 0.0000 0.5000 0.6821
# VASP energy = -4.3189 eV per atom
# V = 204 Å³ per cell
# DFT formation energy = -131 meV per atom

(4)
# LiLa4Al (GGA-PBEsol, optimized geometry)
data_LiLa4Al
_chemical_formula_sum 'Li4 La16 Al4'
_space_group_name_H-M_alt 'F -4 3 m'
_space_group_IT_number 216
_space_group_name_Hall 'F -4 2 3'
_cell_length_a 9.0708
_cell_length_b 9.0708
_cell_length_c 9.0708
_cell_angle_alpha 90.00
_cell_angle_beta 90.00
_cell_angle_gamma 90.00
loop_
_atom_site_label
_atom_site_fract_x
_atom_site_fract_y
_atom_site_fract_z
Li1 0.0000 0.0000 0.0000
La1 0.1215 0.1215 0.3785
Al1 0.2500 0.2500 0.7500
# VASP energy = -4.2404 eV per atom
# V = 746 Å³ per cell
# DFT formation energy = 333 meV per atom